Entry 1:
Entry from Alexandria: AlPSe at its PBEsol-relaxed geometry (meta-GGA SCAN).

Calculated values
raw formation energy = -0.12 eV/atom
DOS at the Fermi energy = 1.76 states/eV per cell
DFT total energy = -12.859 eV per atom

a = 3.6647 Å, b = 3.6647 Å, c = 4.6838 Å
α = 90.00°, β = 90.00°, γ = 120.00°
Sites, in units of the cell vectors:
Al 0.0000 0.0000 0.9783
Se 0.3333 0.6667 0.3058
P 0.6667 0.3333 0.7159

---

Entry 2:
Entry from Alexandria: GaRhOF2 at its PBEsol-relaxed geometry (meta-GGA SCAN).

Calculated values
raw formation energy = -1.08 eV/atom
DOS at the Fermi energy = 1.58 states/eV per cell
DFT total energy = -13.769 eV per atom

a = 3.6555 Å, b = 4.3467 Å, c = 4.3467 Å
α = 90.00°, β = 90.00°, γ = 90.00°
Sites, in units of the cell vectors:
O 0.5000 0.0000 0.0000
Rh 0.0000 0.0000 0.0000
F 0.0000 0.5000 0.0000
F 0.0000 0.0000 0.5000
Ga 0.5000 0.5000 0.5000

---

Entry 3:
Entry from Alexandria: Cr2CoBr at its PBEsol-relaxed geometry (meta-GGA SCAN).

Calculated values
raw formation energy = 0.46 eV/atom
DOS at the Fermi energy = 2.39 states/eV per cell
DFT total energy = -17.920 eV per atom

a = 3.0010 Å, b = 3.0010 Å, c = 6.1762 Å
α = 90.00°, β = 90.00°, γ = 90.00°
Site moments in Bohr magnetons follow the coordinates.
Sites, in units of the cell vectors:
Cr 0.0000 0.0000 0.9839  -2.60
Br 0.0000 0.0000 0.5049  0.02
Cr 0.5000 0.5000 0.2085  3.27
Co 0.5000 0.5000 0.8026  1.03

---

Entry 4:
Entry from Alexandria: Hf2ReOs at its PBEsol-relaxed geometry (meta-GGA SCAN).

Calculated values
DOS at the Fermi energy = 3.08 states/eV per cell
DFT total energy = -67.775 eV per atom
formation energy = -0.6941 eV/atom

a = 4.5601 Å, b = 4.5601 Å, c = 4.5601 Å
α = 60.00°, β = 60.00°, γ = 60.00°
Sites, in units of the cell vectors:
Re 0.0000 0.0000 0.0000
Hf 0.2500 0.2500 0.2500
Hf 0.7500 0.7500 0.7500
Os 0.5000 0.5000 0.5000

---

Entry 5:
Entry from Alexandria: Co2Ir at its PBEsol-relaxed geometry (meta-GGA SCAN).

Calculated values
ΔE to the lowest computed polymorph = 46 meV/atom
DOS at the Fermi energy = 3.34 states/eV per cell
DFT total energy = -35.173 eV per atom
formation energy = 0.0631 eV/atom

a = 2.5946 Å, b = 2.5946 Å, c = 6.1406 Å
α = 90.00°, β = 90.00°, γ = 120.00°
Site moments in Bohr magnetons follow the coordinates.
Sites, in units of the cell vectors:
Co 0.6667 0.3333 0.3457  1.97
Ir 0.0000 0.0000 0.0000  0.51
Co 0.3333 0.6667 0.6543  1.97

---

Entry 6:
Entry from Alexandria: NaSn2Pd3 at its PBEsol-relaxed geometry (meta-GGA SCAN).

Calculated values
DOS at the Fermi energy = 2.71 states/eV per cell
DFT total energy = -29.555 eV per atom
formation energy = -0.4920 eV/atom

a = 4.2452 Å, b = 5.7027 Å, c = 5.7027 Å
α = 120.00°, β = 90.00°, γ = 90.00°
Sites, in units of the cell vectors:
Sn 0.5098 0.6667 0.3333
Pd 0.0113 0.5000 0.5000
Pd 0.0113 0.0000 0.5000
Na 0.7765 0.0000 0.0000
Sn 0.5098 0.3333 0.6667
Pd 0.0113 0.5000 0.0000

---

- Look up the DOS at the Fermi energy of the third one.
  2.39 states/eV per cell

---

- DFT total energy of number 6 (NaSn2Pd3)?
  -29.555 eV per atom

---

- What is the formula in the third record?
  Cr2CoBr